## w
A plane-wave DFT calculation with GGA-PBE was carried out for RbGaMoBr2 after structural relaxation.

Cell: 5.771 5.771 6.465 Å, 90.00 90.00 90.00°
Space group P4/mmm (No. 123)
Symmetry-distinct sites (fractional):
Rb (0.000, 0.000, 0.000) (multiplicity 1)
Ga (0.000, 0.000, 0.500) (multiplicity 1)
Mo (0.500, 0.500, 0.000) (multiplicity 1)
Br (0.000, 0.500, 0.500) (multiplicity 2)

## x
A plane-wave DFT calculation with GGA-PBE was carried out for RbGaMoBr2 after structural relaxation.

Cell: 5.502 5.502 5.038 Å, 90.00 90.00 90.00°
Space group P4/mmm (No. 123)
Symmetry-distinct sites (fractional):
Rb (0.000, 0.000, 0.000) (multiplicity 1)
Ga (0.500, 0.500, 0.000) (multiplicity 1)
Mo (0.500, 0.500, 0.500) (multiplicity 1)
Br (0.000, 0.500, 0.500) (multiplicity 2)

Stability check: which of them is least stable? w.

## w
A plane-wave DFT calculation with GGA-PBE was carried out for GaBrN2 after structural relaxation.

Cell: 5.818 5.818 5.818 Å, 90.00 90.00 90.00°
Space group Fm-3m (No. 225)
Symmetry-distinct sites (fractional):
Ga (0.000, 0.000, 0.000) (multiplicity 4)
Br (0.000, 0.000, 0.500) (multiplicity 4)
N (0.250, 0.250, 0.250) (multiplicity 8)

## x
A plane-wave DFT calculation with GGA-PBE was carried out for GaBrN2 after structural relaxation.

Cell: 3.2045 3.2045 18.0465 Å, 90.00 90.00 120.00°
Space group R-3m (No. 166, hexagonal axes)
Symmetry-distinct sites (fractional):
Ga (0.0000, 0.0000, 0.0000) (multiplicity 3)
Br (0.0000, 0.0000, 0.5000) (multiplicity 3)
N (0.0000, 0.0000, 0.3892) (multiplicity 6)

Stability check: which of them is least stable? w.

## w
A plane-wave DFT calculation with GGA-PBE was carried out for GaBrN2 after structural relaxation.

Cell: 3.8011 3.8011 16.5366 Å, 90.00 90.00 120.00°
Space group R-3m (No. 166, hexagonal axes)
Symmetry-distinct sites (fractional):
Ga (0.0000, 0.0000, 0.0000) (multiplicity 3)
Br (0.0000, 0.0000, 0.5000) (multiplicity 3)
N (0.0000, 0.0000, 0.1102) (multiplicity 6)

## x
A plane-wave DFT calculation with GGA-PBE was carried out for GaBrN2 after structural relaxation.

Cell: 5.377 5.377 8.040 Å, 90.00 90.00 90.00°
Space group I-42d (No. 122)
Symmetry-distinct sites (fractional):
Ga (0.000, 0.000, 0.000) (multiplicity 4)
Br (0.000, 0.000, 0.500) (multiplicity 4)
N (0.183, 0.250, 0.125) (multiplicity 8)

Stability check: which of them is least stable? w.

## w
A plane-wave DFT calculation with GGA-PBE was carried out for GaS2BrN after structural relaxation.

Cell: 5.080 5.080 3.819 Å, 90.00 90.00 90.00°
Space group P4/mmm (No. 123)
Symmetry-distinct sites (fractional):
Ga (0.000, 0.000, 0.000) (multiplicity 1)
S (0.000, 0.500, 0.500) (multiplicity 2)
Br (0.500, 0.500, 0.500) (multiplicity 1)
N (0.500, 0.500, 0.000) (multiplicity 1)

## x
A plane-wave DFT calculation with GGA-PBE was carried out for GaS2BrN after structural relaxation.

Cell: 5.003 5.003 3.679 Å, 90.00 90.00 90.00°
Space group P4/mmm (No. 123)
Symmetry-distinct sites (fractional):
Ga (0.000, 0.000, 0.000) (multiplicity 1)
S (0.000, 0.500, 0.000) (multiplicity 2)
Br (0.500, 0.500, 0.500) (multiplicity 1)
N (0.000, 0.000, 0.500) (multiplicity 1)

## y
A plane-wave DFT calculation with GGA-PBE was carried out for GaS2BrN after structural relaxation.

Cell: 4.760 4.760 5.355 Å, 90.00 90.00 90.00°
Space group P4/mmm (No. 123)
Symmetry-distinct sites (fractional):
Ga (0.000, 0.000, 0.000) (multiplicity 1)
S (0.000, 0.500, 0.000) (multiplicity 2)
Br (0.000, 0.000, 0.500) (multiplicity 1)
N (0.500, 0.500, 0.500) (multiplicity 1)

Stability check: which of them is least stable? w.

## w
A plane-wave DFT calculation with GGA-PBE was carried out for GaSeBrN2 after structural relaxation.

Cell: 3.982 3.982 5.794 Å, 90.00 90.00 90.00°
Space group P4/mmm (No. 123)
Symmetry-distinct sites (fractional):
Ga (0.000, 0.000, 0.000) (multiplicity 1)
Se (0.000, 0.000, 0.500) (multiplicity 1)
Br (0.500, 0.500, 0.500) (multiplicity 1)
N (0.000, 0.500, 0.000) (multiplicity 2)

## x
A plane-wave DFT calculation with GGA-PBE was carried out for GaSeBrN2 after structural relaxation.

Cell: 3.824 3.824 7.596 Å, 90.00 90.00 90.00°
Space group P4/mmm (No. 123)
Symmetry-distinct sites (fractional):
Ga (0.000, 0.000, 0.000) (multiplicity 1)
Se (0.500, 0.500, 0.000) (multiplicity 1)
Br (0.500, 0.500, 0.500) (multiplicity 1)
N (0.000, 0.500, 0.500) (multiplicity 2)

Stability check: which of them is least stable? x.

## w
A plane-wave DFT calculation with GGA-PBE was carried out for GaTe2BrN after structural relaxation.

Cell: 6.313 6.313 3.595 Å, 90.00 90.00 90.00°
Space group P4/mmm (No. 123)
Symmetry-distinct sites (fractional):
Ga (0.000, 0.000, 0.000) (multiplicity 1)
Te (0.000, 0.500, 0.500) (multiplicity 2)
Br (0.500, 0.500, 0.500) (multiplicity 1)
N (0.500, 0.500, 0.000) (multiplicity 1)

## x
A plane-wave DFT calculation with GGA-PBE was carried out for GaTe2BrN after structural relaxation.

Cell: 5.947 5.947 3.495 Å, 90.00 90.00 90.00°
Space group P4/mmm (No. 123)
Symmetry-distinct sites (fractional):
Ga (0.000, 0.000, 0.000) (multiplicity 1)
Te (0.000, 0.500, 0.000) (multiplicity 2)
Br (0.500, 0.500, 0.500) (multiplicity 1)
N (0.000, 0.000, 0.500) (multiplicity 1)

Stability check: which of them is least stable? w.

## w
A plane-wave DFT calculation with GGA-PBE was carried out for NaGa2Br after structural relaxation.

Cell: 7.585 7.585 7.585 Å, 90.00 90.00 90.00°
Space group Fm-3m (No. 225)
Symmetry-distinct sites (fractional):
Na (0.000, 0.000, 0.000) (multiplicity 4)
Ga (0.250, 0.250, 0.250) (multiplicity 8)
Br (0.000, 0.000, 0.500) (multiplicity 4)

## x
A plane-wave DFT calculation with GGA-PBE was carried out for NaGa2Br after structural relaxation.

Cell: 8.857 8.857 5.631 Å, 90.00 90.00 90.00°
Space group I-42d (No. 122)
Symmetry-distinct sites (fractional):
Na (0.000, 0.000, 0.000) (multiplicity 4)
Ga (0.235, 0.250, 0.625) (multiplicity 8)
Br (0.000, 0.000, 0.500) (multiplicity 4)

Stability check: which of them is least stable? w.

## w
A plane-wave DFT calculation with GGA-PBE was carried out for NaGaBr4 after structural relaxation.

Cell: 10.666 9.132 9.089 Å, 90.00 94.90 90.00°
Space group C2/c (No. 15)
Symmetry-distinct sites (fractional):
Na (0.250, 0.250, 0.000) (multiplicity 4)
Ga (0.000, 0.149, 0.250) (multiplicity 4)
Br (0.014, 0.298, 0.463) (multiplicity 8)
Br (0.188, 0.010, 0.242) (multiplicity 8)

## x
A plane-wave DFT calculation with GGA-PBE was carried out for NaGaBr4 after structural relaxation.

Cell: 7.369 17.533 17.757 Å, 90.00 90.00 90.00°
Space group Fddd (No. 70, origin choice 2)
Symmetry-distinct sites (fractional):
Na (0.125, 0.125, 0.125) (multiplicity 8)
Ga (0.125, 0.125, 0.625) (multiplicity 8)
Br (0.069, 0.299, 0.950) (multiplicity 32)

## y
A plane-wave DFT calculation with GGA-PBE was carried out for NaGaBr4 after structural relaxation.

Cell: 14.109 7.664 7.815 Å, 90.00 90.00 90.00°
Space group Pnma (No. 62)
Symmetry-distinct sites (fractional):
Na (0.155, 0.250, 0.051) (multiplicity 4)
Ga (0.100, 0.750, 0.804) (multiplicity 4)
Br (0.036, 0.250, 0.368) (multiplicity 4)
Br (0.052, 0.750, 0.093) (multiplicity 4)
Br (0.199, 0.505, 0.745) (multiplicity 8)

Stability check: which of them is least stable? x.

## w
A plane-wave DFT calculation with GGA-PBE was carried out for NaGa3Br after structural relaxation.

Cell: 5.440 5.440 5.440 Å, 90.00 90.00 90.00°
Space group Pm-3m (No. 221)
Symmetry-distinct sites (fractional):
Na (0.000, 0.000, 0.000) (multiplicity 1)
Ga (0.000, 0.000, 0.500) (multiplicity 3)
Br (0.500, 0.500, 0.500) (multiplicity 1)

## x
A plane-wave DFT calculation with GGA-PBE was carried out for NaGa3Br after structural relaxation.

Cell: 5.655 5.655 5.655 Å, 90.00 90.00 90.00°
Space group Pm-3m (No. 221)
Symmetry-distinct sites (fractional):
Na (0.000, 0.000, 0.000) (multiplicity 1)
Ga (0.000, 0.500, 0.500) (multiplicity 3)
Br (0.500, 0.500, 0.500) (multiplicity 1)

Stability check: which of them is least stable? w.

## w
A plane-wave DFT calculation with GGA-PBE was carried out for Na2GaBr after structural relaxation.

Cell: 8.149 8.149 7.004 Å, 90.00 90.00 90.00°
Space group I-42d (No. 122)
Symmetry-distinct sites (fractional):
Na (0.222, 0.250, 0.125) (multiplicity 8)
Ga (0.000, 0.000, 0.500) (multiplicity 4)
Br (0.000, 0.000, 0.000) (multiplicity 4)

## x
A plane-wave DFT calculation with GGA-PBE was carried out for Na2GaBr after structural relaxation.

Cell: 7.634 7.634 7.634 Å, 90.00 90.00 90.00°
Space group Fm-3m (No. 225)
Symmetry-distinct sites (fractional):
Na (0.250, 0.250, 0.250) (multiplicity 8)
Ga (0.000, 0.000, 0.000) (multiplicity 4)
Br (0.000, 0.000, 0.500) (multiplicity 4)

Stability check: which of them is least stable? x.

## w
A plane-wave DFT calculation with GGA-PBE was carried out for NaGaSeBr2 after structural relaxation.

Cell: 5.593 5.593 5.401 Å, 90.00 90.00 90.00°
Space group P4/mmm (No. 123)
Symmetry-distinct sites (fractional):
Na (0.000, 0.000, 0.000) (multiplicity 1)
Ga (0.500, 0.500, 0.500) (multiplicity 1)
Se (0.000, 0.000, 0.500) (multiplicity 1)
Br (0.000, 0.500, 0.000) (multiplicity 2)

## x
A plane-wave DFT calculation with GGA-PBE was carried out for NaGaSeBr2 after structural relaxation.

Cell: 5.402 5.402 4.944 Å, 90.00 90.00 90.00°
Space group P4/mmm (No. 123)
Symmetry-distinct sites (fractional):
Na (0.000, 0.000, 0.000) (multiplicity 1)
Ga (0.500, 0.500, 0.500) (multiplicity 1)
Se (0.500, 0.500, 0.000) (multiplicity 1)
Br (0.000, 0.500, 0.500) (multiplicity 2)

Stability check: which of them is least stable? w.

## w
A plane-wave DFT calculation with GGA-PBE was carried out for GaNiBr2 after structural relaxation.

Cell: 7.581 7.581 6.815 Å, 90.00 90.00 90.00°
Space group I-42d (No. 122)
Symmetry-distinct sites (fractional):
Ga (0.000, 0.000, 0.000) (multiplicity 4)
Ni (0.000, 0.000, 0.500) (multiplicity 4)
Br (0.165, 0.250, 0.625) (multiplicity 8)

## x
A plane-wave DFT calculation with GGA-PBE was carried out for GaNiBr2 after structural relaxation.

Cell: 7.086 7.086 7.086 Å, 90.00 90.00 90.00°
Space group Fm-3m (No. 225)
Symmetry-distinct sites (fractional):
Ga (0.000, 0.000, 0.000) (multiplicity 4)
Ni (0.000, 0.000, 0.500) (multiplicity 4)
Br (0.250, 0.250, 0.250) (multiplicity 8)

Stability check: which of them is least stable? x.